No. 1
## Sm3YFe8 (PBE)

Data for a relaxed structure of Sm3YFe8.

Structure (POSCAR):
```
Sm3YFe8
1.0
-0.997 3.440 3.771
-3.193 -1.273 3.903
5.213 -2.233 7.002
Sm Fe Y
3 8 1
Cartesian
2.991 -1.142 9.005
-4.190 2.167 7.675
0.511 -0.033 7.338
1.489 -0.568 4.498
0.141 -1.213 10.116
-2.436 -0.109 6.628
-0.846 0.525 4.684
2.013 -0.607 11.845
-0.355 0.501 11.995
1.236 1.135 10.050
-1.342 2.238 6.562
-1.714 1.060 9.339
```

Summary:
total moment	1.24	μB/atom
symmetry	R3m
energy of formation	1	meV/atom
DFT total energy	-0.2704	Ha/atom
calculated density	8234	kg/m³
crystal system	trigonal

No. 2
## TbZn2Au2 (PBE)

Data for a relaxed structure of TbZn2Au2.

Structure (POSCAR):
```
TbZn2Au2
1.0
-4.147 0.104 -1.133
1.311 -5.082 -5.264
-2.400 -8.876 7.972
Au Zn Tb
8 8 4
Cartesian
-4.535 -9.466 3.493
0.102 -4.412 -4.860
-0.701 -4.388 -1.917
-5.338 -9.442 6.436
-3.501 -10.607 -0.397
-3.489 -7.566 -0.164
-1.735 -3.247 1.972
-1.747 -6.288 1.739
-2.647 -2.809 -2.811
-4.224 -6.986 2.582
-1.012 -6.868 -1.006
-4.163 -11.726 1.925
-2.332 -5.130 3.988
-2.589 -11.045 4.386
-2.904 -8.724 -2.412
-1.073 -2.128 -0.349
-2.812 -7.865 5.493
-1.856 -9.294 1.863
-2.424 -5.990 -3.917
-3.380 -4.560 -0.287
```

Summary:
total moment	0.00	μB/atom
symmetry	Pnma
energy of formation	-541	meV/atom
DFT total energy	-0.1208	Ha/atom
energy relative to the lowest polymorph listed for this composition	0.00	eV/f.u.
calculated density	11674	kg/m³
crystal system	orthorhombic

No. 3
## Al2ZnAgAu4 (PBE)

Data for a relaxed structure of Al2ZnAgAu4.

Structure (POSCAR):
```
Al2ZnAgAu4
1.0
-4.295 1.246 -0.771
-3.308 -1.432 2.756
-1.550 6.019 5.004
Au Al Ag Zn
4 2 1 1
Cartesian
-7.218 2.191 3.683
-1.935 3.641 3.306
-4.228 5.065 5.028
-4.924 0.768 1.960
-2.301 1.380 1.691
-6.852 4.453 5.297
0.000 0.000 0.000
-4.576 2.916 3.494
```

Summary:
total moment	0.00	μB/atom
symmetry	R-3m
energy of formation	-236	meV/atom
DFT total energy	-0.1222	Ha/atom
calculated density	12541	kg/m³
crystal system	trigonal

No. 4
## Ce2ZnCo9 (PBE)

Data for a relaxed structure of Ce2ZnCo9.

Structure (POSCAR):
```
Ce2ZnCo9
1.0
4.811 0.000 0.000
2.405 4.166 0.000
2.405 1.389 8.269
Co Ce Zn
9 2 1
Cartesian
4.811 1.391 6.292
6.012 2.084 1.977
4.811 4.164 1.977
4.811 2.777 0.004
6.012 3.471 6.292
3.610 3.471 6.292
3.610 2.084 1.977
4.811 2.777 8.265
4.811 2.777 4.134
7.216 4.166 3.356
2.405 1.389 4.913
0.000 0.000 0.000
```

Summary:
total moment	0.73	μB/atom
symmetry	R-3m
energy of formation	-29	meV/atom
DFT total energy	-0.2372	Ha/atom
calculated density	8778	kg/m³
crystal system	trigonal